! YRhW (PBE, relaxed); values from VASP
&SYSTEM
  ibrav = 0, nat = 3, ntyp = 3
/
ATOMIC_SPECIES
Rh 102.91 Rh.upf
W 183.84 W.upf
Y 88.91 Y.upf
CELL_PARAMETERS angstrom
-2.511 -3.161 -2.167
-2.394 -3.073 2.412
-4.574 0.236 0.112
ATOMIC_POSITIONS angstrom
Rh 0.000 0.000 0.000
W -4.739 -2.999 0.179
Y -7.109 -4.498 0.268
! * size of the total moment: 2.8 μB per formula unit
! * space group: F-43m
! * energy of formation from the pure elements: 1373 meV/atom
! * crystal system: cubic
! * energy above the lowest structure with this stoichiometry: 1704 meV/atom


! Y4RhW (PBE, relaxed); values from VASP
&SYSTEM
  ibrav = 0, nat = 6, ntyp = 3
/
ATOMIC_SPECIES
Y 88.91 Y.upf
Rh 102.91 Rh.upf
W 183.84 W.upf
CELL_PARAMETERS angstrom
5.467 -1.315 1.844
3.837 4.339 1.212
1.573 1.079 5.601
ATOMIC_POSITIONS angstrom
Y 6.816 0.878 4.168
Y 4.863 2.079 6.052
Y 5.999 3.713 3.851
Y 4.075 1.537 3.244
Rh 8.157 3.078 6.493
W 0.000 0.000 0.000
! * size of the total moment: 0.0 μB per formula unit
! * space group: F-43m
! * energy of formation from the pure elements: 1022 meV/atom
! * crystal system: cubic


! YRh2W (PBE, relaxed); values from VASP
&SYSTEM
  ibrav = 0, nat = 4, ntyp = 3
/
ATOMIC_SPECIES
Rh 102.91 Rh.upf
W 183.84 W.upf
Y 88.91 Y.upf
CELL_PARAMETERS angstrom
3.003 0.000 0.000
0.000 3.003 0.000
0.000 0.000 7.698
ATOMIC_POSITIONS angstrom
Rh 0.000 0.000 0.244
Rh 0.000 0.000 3.605
W 1.501 1.501 1.924
Y 1.501 1.501 5.773
! * size of the total moment: 0.0 μB per formula unit
! * space group: P4/mmm
! * energy of formation from the pure elements: -273 meV/atom
! * crystal system: tetragonal
! * energy above the lowest structure with this stoichiometry: 0 meV/atom


! YRh2W (PBE, relaxed); values from VASP
&SYSTEM
  ibrav = 0, nat = 4, ntyp = 3
/
ATOMIC_SPECIES
Rh 102.91 Rh.upf
W 183.84 W.upf
Y 88.91 Y.upf
CELL_PARAMETERS angstrom
-4.880 -0.617 -1.849
-3.441 -2.176 3.323
3.478 3.933 0.218
ATOMIC_POSITIONS angstrom
Rh 0.000 0.000 0.000
Rh -2.061 0.180 2.139
W -4.160 -1.397 0.737
Y -2.781 0.960 -0.447
! * size of the total moment: 0.0 μB per formula unit
! * space group: I-4m2
! * energy of formation from the pure elements: 10 meV/atom
! * crystal system: tetragonal
! * energy above the lowest structure with this stoichiometry: 283 meV/atom


! YRhW (PBE, relaxed); values from VASP
&SYSTEM
  ibrav = 0, nat = 3, ntyp = 3
/
ATOMIC_SPECIES
Rh 102.91 Rh.upf
W 183.84 W.upf
Y 88.91 Y.upf
CELL_PARAMETERS angstrom
6.370 0.002 -0.002
5.605 3.027 0.000
0.765 0.192 3.018
ATOMIC_POSITIONS angstrom
Rh 1.059 0.267 2.939
W 7.964 2.014 1.078
Y 4.481 1.133 2.017
! * size of the total moment: 0.0 μB per formula unit
! * space group: I4mm
! * energy of formation from the pure elements: -32 meV/atom
! * crystal system: tetragonal
! * energy above the lowest structure with this stoichiometry: 299 meV/atom


! Y2Rh2W (PBE, relaxed); values from VASP
&SYSTEM
  ibrav = 0, nat = 10, ntyp = 3
/
ATOMIC_SPECIES
Y 88.91 Y.upf
Rh 102.91 Rh.upf
W 183.84 W.upf
CELL_PARAMETERS angstrom
-1.994 6.401 -0.309
-6.303 -1.900 1.308
0.791 0.463 4.486
ATOMIC_POSITIONS angstrom
Y -4.215 0.073 3.072
Y -6.146 2.992 3.112
Y -3.290 4.891 2.412
Y -1.359 1.972 2.373
Rh -6.115 0.658 1.010
Rh -5.760 4.266 0.575
Rh -2.181 3.843 -0.012
Rh -2.536 0.235 0.423
W 0.000 0.000 0.000
W -4.148 2.251 0.499
! * size of the total moment: 0.0 μB per formula unit
! * space group: P4/mbm
! * energy of formation from the pure elements: -331 meV/atom
! * crystal system: tetragonal
! * energy above the lowest structure with this stoichiometry: 0 meV/atom